Entry 1:
The following is a DFT calculation (PBE-GGA) of a geometry-optimized InCoPb2 structure.

The structure belongs to space group R3m (No. 160, hexagonal axes); the cell edges are 3.4476, 3.4476 and 28.3715 Å and the angles 90.00°, 90.00° and 120.00°. Symmetry generates all atoms from In at (0.0000, 0.0000, 0.0000), Co at (0.0000, 0.0000, 0.7283), Pb at (0.0000, 0.0000, 0.2339) and Pb at (0.0000, 0.0000, 0.4610).

The value obtained for the density of states at the Fermi level is 13.49 states/eV per cell. Its energy is -16.062 eV per formula unit.

=====

Entry 2:
The following is a DFT calculation (PBE-GGA) of a geometry-optimized Cd2Tc2Mo structure.

The structure belongs to space group P4/mbm (No. 127); the cell edges are 7.4006, 7.4006 and 3.1768 Å and the angles 90.00°, 90.00° and 90.00°. Symmetry generates all atoms from Cd at (0.1323, 0.3677, 0.0000), Tc at (0.1683, 0.6683, 0.5000) and Mo at (0.0000, 0.0000, 0.0000).

The value obtained for the density of states at the Fermi level is 8.55 states/eV per cell. For the distance to the lowest polymorph of the same formula, the calculation gives 0.227 eV/f.u. Its energy is -28.461 eV per formula unit.

=====

Entry 3:
The following is a DFT calculation (PBE-GGA) of a geometry-optimized CaCePrGd structure.

The structure belongs to space group F-43m (No. 216); the cell edges are 8.2662, 8.2662 and 8.2662 Å and the angles 90.00°, 90.00° and 90.00°. Symmetry generates all atoms from Ca at (0.0000, 0.0000, 0.0000), Ce at (0.0000, 0.0000, 0.5000), Pr at (0.2500, 0.2500, 0.7500) and Gd at (0.2500, 0.2500, 0.2500).

The value obtained for the density of states at the Fermi level is 51.36 states/eV per cell. Its energy is -25.847 eV per formula unit.

=====

Entry 4:
The following is a DFT calculation (PBE-GGA) of a geometry-optimized Ce2PmLu structure.

The structure belongs to space group P4/mmm (No. 123); the cell edges are 3.4706, 3.4706 and 10.1251 Å and the angles 90.00°, 90.00° and 90.00°. Symmetry generates all atoms from Ce at (0.0000, 0.0000, 0.2447), Pm at (0.5000, 0.5000, 0.5000) and Lu at (0.5000, 0.5000, 0.0000).

The value obtained for the density of states at the Fermi level is 10.35 states/eV per cell. For the distance to the lowest polymorph of the same formula, the calculation gives 0.034 eV/f.u. Its energy is -20.688 eV per formula unit.

=====

Entry 5:
The following is a DFT calculation (PBE-GGA) of a geometry-optimized CuRhW2 structure.

The structure belongs to space group R-3m (No. 166, hexagonal axes); the cell edges are 2.7628, 2.7628 and 27.0715 Å and the angles 90.00°, 90.00° and 120.00°. Symmetry generates all atoms from Cu at (0.0000, 0.0000, 0.0000), Rh at (0.0000, 0.0000, 0.5000) and W at (0.0000, 0.0000, 0.2500).

The value obtained for the density of states at the Fermi level is 7.28 states/eV per cell. For the distance to the lowest polymorph of the same formula, the calculation gives 0.448 eV/f.u. Its energy is -36.550 eV per formula unit.

=====

Entry 6:
The following is a DFT calculation (PBE-GGA) of a geometry-optimized GePRu structure.

The structure belongs to space group C2/c (No. 15); the cell edges are 5.4291, 6.6481 and 5.4190 Å and the angles 90.00°, 108.68° and 90.00°. Symmetry generates all atoms from Ge at (0.0000, 0.0537, 0.2500), P at (0.0000, 0.4652, 0.2500) and Ru at (0.2500, 0.2500, 0.0000).

The value obtained for the density of states at the Fermi level is 4.50 states/eV per cell. Its energy is -19.595 eV per formula unit.

=====

Entry 7:
The following is a DFT calculation (PBE-GGA) of a geometry-optimized Dy2IrRu structure.

The structure belongs to space group Fm-3m (No. 225); the cell edges are 6.8224, 6.8224 and 6.8224 Å and the angles 90.00°, 90.00° and 90.00°. Symmetry generates all atoms from Dy at (0.2500, 0.2500, 0.2500), Ir at (0.0000, 0.0000, 0.0000) and Ru at (0.0000, 0.0000, 0.5000).

The value obtained for the density of states at the Fermi level is 8.75 states/eV per cell. Its energy is -29.769 eV per formula unit.

=====

Entry 8:
The following is a DFT calculation (PBE-GGA) of a geometry-optimized CsMnCd3 structure.

The structure belongs to space group Pm-3m (No. 221); the cell edges are 6.1739, 6.1739 and 6.1739 Å and the angles 90.00°, 90.00° and 90.00°. Symmetry generates all atoms from Cs at (0.0000, 0.0000, 0.0000), Mn at (0.5000, 0.5000, 0.5000) and Cd at (0.0000, 0.0000, 0.5000).

The value obtained for the density of states at the Fermi level is 4.66 states/eV per cell. Its energy is -6.518 eV per formula unit.

=====

Calculated density list, top to bottom, in g/cm³: 10.03 9.86 5.63 8.17 14.87 7.34 12.93 3.71